! PBE YSi2Pt, optimized geometry; values from VASP
&SYSTEM
  ibrav = 0, nat = 4, ntyp = 3
/
ATOMIC_SPECIES
Y 88.91 Y.upf
Si 28.09 Si.upf
Pt 195.08 Pt.upf
ATOMIC_POSITIONS angstrom
Y 0.000 0.000 0.000
Si 1.648 1.648 2.021
Si 1.648 1.648 4.546
Pt 0.000 0.000 3.284
CELL_PARAMETERS angstrom
3.296 0.000 0.000
0.000 3.296 0.000
0.000 0.000 6.567
! DOS(E_F) = 3.47 states/eV/f.u.
! formation energy from raw total energies = -0.392 eV per atom
! E = -24.92 eV per cell

---

! PBE YSi4Pt, optimized geometry; values from VASP
&SYSTEM
  ibrav = 0, nat = 6, ntyp = 3
/
ATOMIC_SPECIES
Y 88.91 Y.upf
Si 28.09 Si.upf
Pt 195.08 Pt.upf
ATOMIC_POSITIONS angstrom
Y 0.000 0.000 0.000
Si 2.760 2.760 2.760
Si 4.571 4.571 2.760
Si 4.571 2.760 4.571
Si 2.760 4.571 4.571
Pt 5.498 5.498 5.498
CELL_PARAMETERS angstrom
0.000 3.666 3.666
3.666 0.000 3.666
3.666 3.666 0.000
! DOS(E_F) = 6.69 states/eV/f.u.
! formation energy from raw total energies = -0.074 eV per atom
! E = -34.64 eV per cell

---

! PBE Y2SiPt2, optimized geometry; values from VASP
&SYSTEM
  ibrav = 0, nat = 10, ntyp = 3
/
ATOMIC_SPECIES
Y 88.91 Y.upf
Si 28.09 Si.upf
Pt 195.08 Pt.upf
ATOMIC_POSITIONS angstrom
Y 1.338 2.641 0.000
Y 2.641 6.620 0.000
Y 5.317 1.338 0.000
Y 6.620 5.317 0.000
Si 0.000 0.000 0.000
Si 3.979 3.979 0.000
Pt 1.012 4.991 1.761
Pt 2.967 1.012 1.761
Pt 4.991 6.946 1.761
Pt 6.946 2.967 1.761
CELL_PARAMETERS angstrom
7.958 0.000 0.000
0.000 7.958 0.000
0.000 0.000 3.521
! DOS(E_F) = 1.60 states/eV/f.u.
! formation energy from raw total energies = -0.649 eV per atom
! E = -67.36 eV per cell

---

> Look up the E of the first one.

-24.92 eV per cell